Density functional theory data (PBE) for a geometry-optimized KTaIr2 structure.

```
KTaIr2
1.0
-1.370 2.547 5.507
1.370 -2.547 5.507
1.370 2.547 -5.507
K Ta Ir
1 1 2
Direct
0.000 0.000 0.000
0.299 0.799 0.500
0.514 0.514 0.000
0.718 0.218 0.500
```

Values from the calculation:
Crystal system   orthorhombic
Space group   No. 44
DFT total energy   -7.173 eV/atom